VASP calculation (PBE) on a geometry-optimized Er2Ga2NiPd3 structure.

```
8
Lattice="4.325 0.000 0.000 -2.162 3.746 0.000 0.000 0.000 8.913" Properties=species:S:1:pos:R:3 pbc="T T T"
Er 0.000 0.000 0.000
Er 0.000 2.497 4.356
Ga 2.162 1.249 2.312
Ga 2.162 1.249 6.631
Ni 0.000 0.000 2.859
Pd 0.000 0.000 5.839
Pd 0.000 2.497 1.490
Pd 0.000 2.497 7.384
```

Output
The value obtained for the total magnetic moment is 0.000 μB per atom. The value obtained for the volume is 144.4 Å³/f.u. The space group is No. 156. For the energy, the calculation gives -5.3462 eV per atom.